A relaxed NaSrBr2Cl crystal, computed with PBE.

```
5
Lattice="-2.9136 0.2935 5.2254 -4.8962 -2.2655 -2.6028 1.7318 -5.1868 1.2569" Properties=species:S:1:pos:R:3 pbc="T T T"
Na -3.0390 -3.5794 1.9398
Sr 0.0000 0.0000 0.0000
Br -1.4568 0.1467 2.6127
Br -2.4481 -1.1327 -1.3014
Cl 0.8659 -2.5934 0.6285
```

Output
Total energy   -17.101 eV/cell
E_form (uncorrected)   -1.78 eV/atom
Energy relative to the lowest polymorph listed for this composition   0.217 eV per atom